TbHo6Pd2 | PBE | relaxed

Lattice parameters (Å, degrees): 3.668 8.219 8.630 79.52 77.73 77.11
Element x y z (fractional)
Ho (0.287, 0.317, 0.110)
Ho (0.033, 0.124, 0.811)
Ho (0.967, 0.876, 0.189)
Ho (0.306, 0.833, 0.554)
Ho (0.713, 0.683, 0.890)
Ho (0.694, 0.167, 0.446)
Pd (0.594, 0.579, 0.232)
Pd (0.406, 0.421, 0.768)
Tb (0.000, 0.500, 0.500)

Computed properties:
VASP energy: -5.10 eV per atom
Energy of formation from the pure elements: -0.378 eV per atom
Symmetry: No. 12

=====

Cs2Cd4GaAu2 | PBE | relaxed

Lattice parameters (Å, degrees): 7.061 6.417 6.417 65.04 92.45 92.45
Element x y z (fractional)
Cs (0.608, 0.343, 0.343)
Cs (0.392, 0.657, 0.657)
Au (0.801, 0.870, 0.870)
Au (0.199, 0.130, 0.130)
Cd (0.881, 0.850, 0.386)
Cd (0.881, 0.386, 0.850)
Cd (0.119, 0.150, 0.614)
Cd (0.119, 0.614, 0.150)
Ga (0.500, 0.000, 0.000)

Computed properties:
VASP energy: -1.74 eV per atom
Energy of formation from the pure elements: -0.081 eV per atom
Symmetry: No. 12